No. 1
First-principles (PBE) data for a relaxed structure of MnTl3V2Se6, as listed in the Alexandria database.

```
data_MnTl3V2Se6
_chemical_formula_sum 'Mn1 Tl3 V2 Se6'
_cell_length_a 6.5342
_cell_length_b 6.5342
_cell_length_c 7.9220
_cell_angle_alpha 97.96
_cell_angle_beta 97.96
_cell_angle_gamma 118.41
_space_group_name_H-M_alt 'P 1'
_space_group_IT_number 1
_space_group_name_Hall 'P 1'
loop_
_atom_site_label
_atom_site_type_symbol
_atom_site_fract_x
_atom_site_fract_y
_atom_site_fract_z
_atom_site_occupancy
Mn1 Mn 0.0000 0.0000 0.0000 1
Tl1 Tl 0.1745 0.8255 0.5000 1
Tl2 Tl 0.5000 0.5000 0.5000 1
Tl3 Tl 0.8255 0.1745 0.5000 1
V1 V 0.3471 0.6529 0.0000 1
V2 V 0.6529 0.3471 0.0000 1
Se1 Se 0.0544 0.3896 0.1752 1
Se2 Se 0.2699 0.2699 0.8046 1
Se3 Se 0.3896 0.0544 0.1752 1
Se4 Se 0.6104 0.9456 0.8248 1
Se5 Se 0.7301 0.7301 0.1954 1
Se6 Se 0.9456 0.6104 0.8248 1
```

Calculated values
- space-group type = C2/m (12)


No. 2
First-principles (PBE) data for a relaxed structure of Mn2Tl3VSe6, as listed in the Alexandria database.

```
data_Mn2Tl3VSe6
_chemical_formula_sum 'Mn2 Tl3 V1 Se6'
_cell_length_a 6.6495
_cell_length_b 6.6495
_cell_length_c 7.8436
_cell_angle_alpha 98.09
_cell_angle_beta 98.09
_cell_angle_gamma 120.04
_space_group_name_H-M_alt 'P 1'
_space_group_IT_number 1
_space_group_name_Hall 'P 1'
loop_
_atom_site_label
_atom_site_type_symbol
_atom_site_fract_x
_atom_site_fract_y
_atom_site_fract_z
_atom_site_occupancy
Mn1 Mn 0.1666 0.8334 0.0000 1
Mn2 Mn 0.8334 0.1666 0.0000 1
Tl1 Tl 0.0000 0.0000 0.5000 1
Tl2 Tl 0.3343 0.6657 0.5000 1
Tl3 Tl 0.6657 0.3343 0.5000 1
V1 V 0.5000 0.5000 0.0000 1
Se1 Se 0.1082 0.4398 0.8182 1
Se2 Se 0.2292 0.2292 0.1818 1
Se3 Se 0.4398 0.1082 0.8182 1
Se4 Se 0.5602 0.8918 0.1818 1
Se5 Se 0.7708 0.7708 0.8182 1
Se6 Se 0.8918 0.5602 0.1818 1
```

Calculated values
- space-group type = C2/m (12)


No. 3
First-principles (PBE) data for a relaxed structure of Mn3Tl3VSe8, as listed in the Alexandria database.

```
data_Mn3Tl3VSe8
_chemical_formula_sum 'Mn3 Tl3 V1 Se8'
_cell_length_a 7.4723
_cell_length_b 7.4723
_cell_length_c 8.7690
_cell_angle_alpha 115.11
_cell_angle_beta 115.11
_cell_angle_gamma 60.07
_space_group_name_H-M_alt 'P 1'
_space_group_IT_number 1
_space_group_name_Hall 'P 1'
loop_
_atom_site_label
_atom_site_type_symbol
_atom_site_fract_x
_atom_site_fract_y
_atom_site_fract_z
_atom_site_occupancy
Mn1 Mn 0.0000 0.0000 0.0000 1
Mn2 Mn 0.0000 0.5000 0.0000 1
Mn3 Mn 0.5000 0.0000 0.0000 1
Tl1 Tl 0.0000 0.5000 0.5000 1
Tl2 Tl 0.5000 0.0000 0.5000 1
Tl3 Tl 0.5000 0.5000 0.5000 1
V1 V 0.5000 0.5000 0.0000 1
Se1 Se 0.2267 0.2267 0.1805 1
Se2 Se 0.2294 0.7266 0.1837 1
Se3 Se 0.2729 0.2729 0.8166 1
Se4 Se 0.2734 0.7706 0.8163 1
Se5 Se 0.7266 0.2294 0.1837 1
Se6 Se 0.7271 0.7271 0.1834 1
Se7 Se 0.7706 0.2734 0.8163 1
Se8 Se 0.7733 0.7733 0.8195 1
```

Calculated values
- space-group type = C2/m (12)


| no. | raw formation energy (eV/atom) |
| --- | --- |
| 1 | -0.513 |
| 2 | -0.478 |
| 3 | -0.485 |